[1]
5
Lattice="4.808 0.000 0.000 0.000 4.808 0.000 0.000 0.000 4.808" Properties=species:S:1:pos:R:3 comment="PBE TiTeIr3, relaxed" e_tot_ry_per_atom=-0.443 e_above_lowest_polymorph_ev_per_atom=0.420 raw_formation_energy_mev_per_atom=1502.8 pbc="T T T"
Ti 0.000 0.000 0.000
Te 2.404 2.404 2.404
Ir 0.000 2.404 2.404
Ir 2.404 0.000 2.404
Ir 2.404 2.404 0.000



[2]
8
Lattice="4.046 0.000 0.000 0.000 4.046 0.000 0.000 0.000 9.315" Properties=species:S:1:pos:R:3 comment="PBE ThNiGeRh, relaxed" e_tot_ry_per_atom=-0.506 pbc="T T T"
Th 1.011 1.011 2.008
Th 3.034 3.034 7.307
Ni 1.011 1.011 8.507
Ni 3.034 3.034 0.808
Ge 1.011 1.011 6.095
Ge 3.034 3.034 3.220
Rh 1.011 3.034 4.657
Rh 3.034 1.011 4.657



[3]
10
Lattice="4.403 0.000 0.000 0.000 4.403 0.000 0.000 0.000 19.817" Properties=species:S:1:pos:R:3 comment="PBE BaAcI2O, relaxed" e_tot_ry_per_atom=-0.365 raw_formation_energy_mev_per_atom=-2144.4 pbc="T T T"
Ba 1.101 1.101 1.733
Ba 3.302 3.302 18.085
Ac 1.101 1.101 11.114
Ac 3.302 3.302 8.703
I 1.101 1.101 6.825
I 1.101 1.101 16.480
I 3.302 3.302 3.337
I 3.302 3.302 12.993
O 1.101 3.302 9.909
O 3.302 1.101 9.909



[4]
5
Lattice="3.971 0.000 0.000 0.000 3.971 0.000 0.000 0.000 5.456" Properties=species:S:1:pos:R:3 comment="PBE NbRuSeN2, relaxed" e_tot_ry_per_atom=-0.520 e_above_lowest_polymorph_ev_per_atom=0.000 raw_formation_energy_mev_per_atom=822.4 pbc="T T T"
Nb 0.000 0.000 0.000
Ru 1.986 1.986 2.728
Se 0.000 0.000 2.728
N 0.000 1.986 0.000
N 1.986 0.000 0.000



[5]
18
Lattice="6.846 -5.656 0.000 6.846 5.656 0.000 -0.820 0.000 6.444" Properties=species:S:1:pos:R:3 comment="PBE InCu2Cl6, relaxed" e_tot_ry_per_atom=-0.234 e_above_lowest_polymorph_ev_per_atom=0.000 raw_formation_energy_mev_per_atom=-740.7 pbc="T T T"
In 6.231 4.641 4.833
In 6.641 -4.641 1.611
Cu 4.673 0.907 4.657
Cu 5.083 -0.907 1.435
Cu 7.790 0.907 5.009
Cu 8.200 -0.907 1.787
Cl 0.955 0.814 3.876
Cl 4.535 2.904 5.611
Cl 1.366 -0.814 0.654
Cl 4.833 1.002 2.454
Cl 7.927 2.904 4.055
Cl 4.422 -1.002 5.676
Cl 8.450 1.002 0.768
Cl 4.946 -2.904 2.389
Cl 8.040 -1.002 3.990
Cl 11.507 0.814 5.790
Cl 8.337 -2.904 0.833
Cl 11.917 -0.814 2.568



[6]
20
Lattice="5.489 -6.945 0.000 5.489 6.945 0.000 0.000 0.000 6.755" Properties=species:S:1:pos:R:3 comment="PBE Pm6HRu3, relaxed" e_tot_ry_per_atom=-0.455 pbc="T T T"
Pm 5.489 6.270 3.377
Pm 3.680 3.110 3.878
Pm 5.489 3.752 0.286
Pm 3.622 0.408 0.405
Pm 3.622 -0.408 3.782
Pm 7.298 3.110 3.878
Pm 3.680 -3.110 0.500
Pm 7.355 0.408 0.405
Pm 7.355 -0.408 3.782
Pm 5.489 -3.752 3.664
Pm 7.298 -3.110 0.500
Pm 5.489 -6.270 0.000
H 5.489 4.015 2.655
H 5.489 -4.015 6.033
Ru 1.738 1.527 2.212
Ru 1.738 -1.527 5.589
Ru 5.489 1.420 5.259
Ru 5.489 -1.420 1.882
Ru 9.239 1.527 2.212
Ru 9.239 -1.527 5.589



[7]
6
Lattice="3.582 0.000 0.000 0.000 3.582 0.000 0.000 0.000 10.940" Properties=species:S:1:pos:R:3 comment="PBE CaSc2Hg3, relaxed" e_tot_ry_per_atom=-0.225 pbc="T T T"
Ca 0.000 0.000 0.000
Sc 0.000 0.000 3.737
Sc 0.000 0.000 7.203
Hg 1.791 1.791 2.075
Hg 1.791 1.791 5.470
Hg 1.791 1.791 8.865



[8]
6
Lattice="4.331 0.000 0.000 0.000 4.331 0.000 0.000 0.000 7.589" Properties=species:S:1:pos:R:3 comment="PBE PuHgGe, relaxed" e_tot_ry_per_atom=-0.483 pbc="T T T"
Pu 1.083 1.083 1.202
Pu 3.248 3.248 6.387
Hg 1.083 3.248 3.794
Hg 3.248 1.083 3.794
Ge 1.083 1.083 5.804
Ge 3.248 3.248 1.785



[9]
5
Lattice="4.573 0.000 0.000 0.000 4.573 0.000 0.000 0.000 5.278" Properties=species:S:1:pos:R:3 comment="PBE InCuGe2F, relaxed" e_tot_ry_per_atom=-0.266 raw_formation_energy_mev_per_atom=-27.6 pbc="T T T"
In 0.000 0.000 0.000
Cu 0.000 0.000 2.639
Ge 0.000 2.287 2.639
Ge 2.287 0.000 2.639
F 2.287 2.287 0.000



[10]
10
Lattice="-2.880 5.425 3.621 2.880 -5.425 3.621 2.880 5.425 -3.621" Properties=species:S:1:pos:R:3 comment="PBE PmPt3Au, relaxed" e_tot_ry_per_atom=-0.412 pbc="T T T"
Pm 0.000 2.713 0.521
Pm 2.880 2.713 3.100
Pt 1.440 4.104 -1.811
Pt 1.440 -1.322 1.811
Pt 2.880 2.713 0.124
Pt 0.000 2.713 3.497
Pt -1.440 6.747 1.811
Pt 1.440 6.747 1.811
Au 2.880 0.000 0.000
Au 0.000 0.000 3.621



[11]
12
Lattice="-4.088 7.517 4.813 4.088 -7.517 4.813 4.088 7.517 -4.813" Properties=species:S:1:pos:R:3 comment="PBE Rb3AgTe2, relaxed" e_tot_ry_per_atom=-0.204 e_above_lowest_polymorph_ev_per_atom=0.043 raw_formation_energy_mev_per_atom=-772.4 pbc="T T T"
Rb 4.088 -3.406 2.406
Rb 0.000 0.000 2.406
Rb 4.088 3.406 2.406
Rb 0.000 4.111 2.406
Rb 0.000 0.000 7.219
Rb 0.000 10.922 2.406
Ag 4.088 0.000 0.000
Ag 0.000 7.517 0.000
Te 6.121 1.786 0.000
Te 2.034 5.731 0.000
Te 2.054 1.786 4.813
Te -2.034 5.731 4.813



[12]
4
Lattice="0.000 3.413 3.413 3.413 0.000 3.413 3.413 3.413 0.000" Properties=species:S:1:pos:R:3 comment="PBE Zr2UCu, relaxed" e_tot_ry_per_atom=-0.571 e_above_lowest_polymorph_ev_per_atom=0.278 pbc="T T T"
Zr 1.706 1.706 1.706
Zr 5.119 5.119 5.119
U 0.000 0.000 0.000
Cu 3.413 3.413 3.413



[13]
14
Lattice="7.774 0.000 0.000 0.000 7.774 0.000 0.000 0.000 3.912" Properties=species:S:1:pos:R:3 comment="PBE NdGe2Rh4, relaxed" e_tot_ry_per_atom=-0.507 e_above_lowest_polymorph_ev_per_atom=0.000 pbc="T T T"
Nd 0.000 0.000 0.000
Nd 3.887 3.887 1.956
Ge 1.755 1.755 1.956
Ge 2.132 5.642 0.000
Ge 5.642 2.132 0.000
Ge 6.019 6.019 1.956
Rh 0.607 5.138 1.956
Rh 1.250 3.281 0.000
Rh 2.637 7.168 1.956
Rh 3.281 1.250 0.000
Rh 4.494 6.524 0.000
Rh 5.138 0.607 1.956
Rh 6.524 4.494 0.000
Rh 7.168 2.637 1.956



[14]
12
Lattice="6.540 -2.156 0.000 6.540 2.156 0.000 -4.361 0.000 7.919" Properties=species:S:1:pos:R:3 comment="PBE Li5Cd5Ag2, relaxed" e_tot_ry_per_atom=-0.137 e_above_lowest_polymorph_ev_per_atom=0.011 pbc="T T T"
Li 0.000 0.000 0.000
Li -0.135 0.000 3.984
Li 2.221 0.000 1.995
Li 6.499 0.000 5.924
Li 8.855 0.000 3.936
Cd 0.009 0.000 7.869
Cd 2.103 0.000 5.830
Cd 4.360 0.000 3.960
Cd 6.617 0.000 2.089
Cd 8.711 0.000 0.050
Ag -2.259 0.000 5.973
Ag 10.980 0.000 1.946



[15]
6
Lattice="0.000 4.176 4.176 4.176 0.000 4.176 4.176 4.176 0.000" Properties=species:S:1:pos:R:3 comment="PBE Ca2C, relaxed" e_tot_ry_per_atom=-0.159 e_above_lowest_polymorph_ev_per_atom=2.215 pbc="T T T"
Ca 0.000 0.000 0.000
Ca 2.088 2.088 0.000
Ca 2.088 0.000 2.088
Ca 0.000 2.088 2.088
C 3.132 3.132 3.132
C 5.219 5.219 5.219



[16]
4
Lattice="2.670 0.000 0.000 0.000 2.670 0.000 0.000 0.000 7.765" Properties=species:S:1:pos:R:3 comment="PBE FeCu2As, relaxed" e_tot_ry_per_atom=-0.374 pbc="T T T"
Fe 0.000 0.000 0.000
Cu 1.335 1.335 1.777
Cu 1.335 1.335 5.988
As 0.000 0.000 3.882



[17]
4
Lattice="0.000 3.865 3.865 3.865 0.000 3.865 3.865 3.865 0.000" Properties=species:S:1:pos:R:3 comment="PBE PmGdHoSn, relaxed" e_tot_ry_per_atom=-0.523 pbc="T T T"
Pm 0.000 0.000 0.000
Gd 3.865 3.865 3.865
Ho 5.797 5.797 5.797
Sn 1.932 1.932 1.932